Entry 1:
DFT (PBE) results for a relaxed Ba2MgBe crystal.

Summary:
* D(E_F): 1.0503 states/eV/atom
* energy of formation: 0.361 eV/atom
* E above lowest polymorph: 85 meV per atom
* theoretical density: 3.58 g/cm3
* total moment: 0.00 Bohr magnetons per cell

a b c (Å): 5.461 5.475 9.563
angles (deg): 90.00 90.00 90.00
Space group Cmm2 (No. 35)
Symmetry-distinct sites (fractional):
Ba (0.000, 0.000, 0.000)
Ba (0.000, 0.500, 0.399)
Mg (0.000, 0.000, 0.656)
Be (0.000, 0.500, 0.770)

=====

Entry 2:
DFT (PBE) results for a relaxed GaPbIO2 crystal.

Summary:
* D(E_F): 0.2808 states/eV/atom
* formation energy (no corrections): -1.7 eV/f.u.
* E above lowest polymorph: 0 meV per atom
* theoretical density: 7.53 g/cm3
* total moment: 0.00 Bohr magnetons per cell

a b c (Å): 4.242 4.242 5.343
angles (deg): 90.00 90.00 90.00
Space group P4/mmm (No. 123)
Symmetry-distinct sites (fractional):
Ga (0.000, 0.000, 0.000)
Pb (0.500, 0.500, 0.500)
I (0.000, 0.000, 0.500)
O (0.000, 0.500, 0.000)

=====

Entry 3:
DFT (PBE) results for a relaxed Y3CdPd crystal.

Summary:
* D(E_F): 0.9794 states/eV/atom
* energy of formation: -0.446 eV/atom
* E above lowest polymorph: 0 meV per atom
* theoretical density: 6.11 g/cm3
* total moment: 0.00 Bohr magnetons per cell

a b c (Å): 9.533 6.640 9.591
angles (deg): 90.00 119.66 90.00
Space group C2/m (No. 12)
Symmetry-distinct sites (fractional):
Y (0.080, 0.000, 0.288)
Y (0.201, 0.500, 0.901)
Y (0.208, 0.500, 0.290)
Cd (0.000, 0.295, 0.500)
Pd (0.000, 0.251, 0.000)

=====

Entry 4:
DFT (PBE) results for a relaxed BeHg2Mo crystal.

Summary:
* D(E_F): 0.2555 states/eV/atom
* energy of formation: 0.620 eV/atom
* theoretical density: 12.09 g/cm3
* total moment: 0.00 Bohr magnetons per cell

a b c (Å): 5.598 8.495 2.924
angles (deg): 90.00 90.16 90.00
Space group C2/m (No. 12)
Symmetry-distinct sites (fractional):
Be (0.000, 0.000, 0.000)
Hg (0.250, 0.250, 0.500)
Mo (0.000, 0.500, 0.000)

=====

Entry 5:
DFT (PBE) results for a relaxed NaTmNiCl6 crystal.

Summary:
* formation energy (no corrections): -14.3 eV/f.u.
* theoretical density: 3.37 g/cm3
* total moment: 4.18 Bohr magnetons per cell

a b c (Å): 6.4760 6.4760 12.5673
angles (deg): 90.00 90.00 120.00
Space group P-31c (No. 163)
Symmetry-distinct sites (fractional):
Na (0.0000, 0.0000, 0.0000)
Tm (0.3333, 0.6667, 0.2500)
Ni (0.3333, 0.6667, 0.7500)
Cl (0.0215, 0.3702, 0.6367)

=====

Entry 6:
DFT (PBE) results for a relaxed Rb6Hg23Bi crystal.

Summary:
* D(E_F): 0.4453 states/eV/atom
* energy of formation: -0.166 eV/atom
* theoretical density: 8.80 g/cm3
* total moment: 0.00 Bohr magnetons per cell

a b c (Å): 15.911 15.911 15.911
angles (deg): 90.00 90.00 90.00
Space group Fm-3m (No. 225)
Symmetry-distinct sites (fractional):
Rb (0.000, 0.000, 0.225)
Hg (0.000, 0.000, 0.500)
Hg (0.000, 0.250, 0.250)
Hg (0.122, 0.122, 0.378)
Hg (0.166, 0.166, 0.166)
Bi (0.000, 0.000, 0.000)